[1]
VASP calculation (PBE-GGA) on an optimized crystal structure of CaSmEr14.

D(E_F)	51.92	states/eV per cell
V	1007.5	Å³ per cell
formation energy	0.02	eV per atom

Geometry as CIF:
```
data_CaSmEr14
_cell_length_a 11.202
_cell_length_b 7.202
_cell_length_c 12.488
_cell_angle_alpha 90.00
_cell_angle_beta 90.00
_cell_angle_gamma 90.00
_symmetry_space_group_name_H-M 'A m m 2'
_symmetry_Int_Tables_number 38
loop_
_symmetry_equiv_pos_as_xyz
'x,y,z'
'-x,-y,z'
'-x,y,z'
'x,-y,z'
'x,y+1/2,z+1/2'
'-x,-y+1/2,z+1/2'
'-x,y+1/2,z+1/2'
'x,-y+1/2,z+1/2'
loop_
_atom_site_label
_atom_site_type_symbol
_atom_site_fract_x
_atom_site_fract_y
_atom_site_fract_z
Ca1 Ca 0.000 0.000 0.000
Sm1 Sm 0.000 0.000 0.499
Er1 Er 0.000 0.249 0.250
Er2 Er 0.249 0.000 0.333
Er3 Er 0.255 0.000 0.831
Er4 Er 0.255 0.247 0.585
Er5 Er 0.500 0.000 0.000
Er6 Er 0.500 0.000 0.501
Er7 Er 0.500 0.250 0.250
```

***

[2]
VASP calculation (PBE-GGA) on an optimized crystal structure of CaSm2Er2.

D(E_F)	13.95	states/eV per cell
V	342.6	Å³ per cell
formation energy	0.05	eV per atom

Geometry as CIF:
```
data_CaSm2Er2
_cell_length_a 5.529
_cell_length_b 17.493
_cell_length_c 3.542
_cell_angle_alpha 90.00
_cell_angle_beta 90.00
_cell_angle_gamma 90.00
_symmetry_space_group_name_H-M 'C m m m'
_symmetry_Int_Tables_number 65
_symmetry_space_group_name_Hall '-C 2 2'
loop_
_atom_site_label
_atom_site_type_symbol
_atom_site_fract_x
_atom_site_fract_y
_atom_site_fract_z
Ca1 Ca 0.000 0.000 0.000
Sm1 Sm 0.000 0.378 0.500
Er1 Er 0.000 0.201 0.000
```

***

[3]
VASP calculation (PBE-GGA) on an optimized crystal structure of CaSm8Er4.

D(E_F)	37.34	states/eV per cell
V	861.9	Å³ per cell
formation energy	0.04	eV per atom

Geometry as CIF:
```
data_CaSm8Er4
_cell_length_a 11.400
_cell_length_b 5.100
_cell_length_c 14.863
_cell_angle_alpha 90.00
_cell_angle_beta 94.17
_cell_angle_gamma 90.00
_symmetry_space_group_name_H-M 'C 1 2/m 1'
_symmetry_Int_Tables_number 12
loop_
_symmetry_equiv_pos_as_xyz
'x,y,z'
'-x,-y,-z'
'-x,y,-z'
'x,-y,z'
'x+1/2,y+1/2,z'
'-x+1/2,-y+1/2,-z'
'-x+1/2,y+1/2,-z'
'x+1/2,-y+1/2,z'
loop_
_atom_site_label
_atom_site_type_symbol
_atom_site_fract_x
_atom_site_fract_y
_atom_site_fract_z
Ca1 Ca 0.000 0.000 0.000
Sm1 Sm 0.039 0.500 0.386
Sm2 Sm 0.076 0.000 0.765
Sm3 Sm 0.193 0.500 0.919
Sm4 Sm 0.234 0.000 0.310
Er1 Er 0.121 0.500 0.160
Er2 Er 0.152 0.000 0.537
```

***

[4]
VASP calculation (PBE-GGA) on an optimized crystal structure of CaSm12Er2.

D(E_F)	87.15	states/eV per cell
V	2071.7	Å³ per cell
formation energy	0.16	eV per atom

Geometry as CIF:
```
data_CaSm12Er2
_cell_length_a 7.128
_cell_length_b 11.510
_cell_length_c 25.252
_cell_angle_alpha 90.00
_cell_angle_beta 90.00
_cell_angle_gamma 90.00
_symmetry_space_group_name_H-M 'C m m e'
_symmetry_Int_Tables_number 67
_symmetry_space_group_name_Hall '-C 2a 2'
loop_
_atom_site_label
_atom_site_type_symbol
_atom_site_fract_x
_atom_site_fract_y
_atom_site_fract_z
Ca1 Ca 0.000 0.250 0.000
Sm1 Sm 0.000 0.001 0.084
Sm2 Sm 0.000 0.023 0.559
Sm3 Sm 0.233 0.250 0.415
Sm4 Sm 0.249 0.250 0.861
Sm5 Sm 0.250 0.000 0.204
Sm6 Sm 0.250 0.000 0.328
Er1 Er 0.000 0.250 0.270
Er2 Er 0.000 0.250 0.726
```

***

[5]
VASP calculation (PBE-GGA) on an optimized crystal structure of Ca2SmEr.

D(E_F)	7.55	states/eV per cell
V	142.8	Å³ per cell
distance to the lowest polymorph of the same formula	0.19	eV per formula unit
formation energy	0.17	eV per atom

Geometry as CIF:
```
data_Ca2SmEr
_cell_length_a 5.061
_cell_length_b 5.061
_cell_length_c 5.575
_cell_angle_alpha 90.00
_cell_angle_beta 90.00
_cell_angle_gamma 90.00
_symmetry_space_group_name_H-M 'P 4/m m m'
_symmetry_Int_Tables_number 123
_symmetry_space_group_name_Hall '-P 4 2'
loop_
_atom_site_label
_atom_site_type_symbol
_atom_site_fract_x
_atom_site_fract_y
_atom_site_fract_z
Ca1 Ca 0.000 0.500 0.000
Sm1 Sm 0.000 0.000 0.500
Er1 Er 0.500 0.500 0.500
```

***

[6]
VASP calculation (PBE-GGA) on an optimized crystal structure of Ca3Sm12Er5.

D(E_F)	331.20	states/eV per cell
V	7031.2	Å³ per cell
formation energy	1.06	eV per atom

Geometry as CIF:
```
data_Ca3Sm12Er5
_cell_length_a 19.158
_cell_length_b 19.158
_cell_length_c 19.158
_cell_angle_alpha 90.00
_cell_angle_beta 90.00
_cell_angle_gamma 90.00
_symmetry_space_group_name_H-M 'I a -3 d'
_symmetry_Int_Tables_number 230
_symmetry_space_group_name_Hall '-I 4bd 2c 3'
loop_
_atom_site_label
_atom_site_type_symbol
_atom_site_fract_x
_atom_site_fract_y
_atom_site_fract_z
Ca1 Ca 0.000 0.250 0.125
Sm1 Sm 0.010 0.079 0.644
Er1 Er 0.000 0.000 0.000
Er2 Er 0.000 0.250 0.375
```

***

[7]
VASP calculation (PBE-GGA) on an optimized crystal structure of Ca2SmEr.

D(E_F)	20.07	states/eV per cell
V	435.9	Å³ per cell
distance to the lowest polymorph of the same formula	0.53	eV per formula unit
formation energy	0.26	eV per atom

Geometry as CIF:
```
data_Ca2SmEr
_cell_length_a 3.5780
_cell_length_b 3.5780
_cell_length_c 39.3198
_cell_angle_alpha 90.00
_cell_angle_beta 90.00
_cell_angle_gamma 120.00
_symmetry_space_group_name_H-M 'R -3 m'
_symmetry_Int_Tables_number 166
_symmetry_space_group_name_Hall '-R 3 2"'
loop_
_atom_site_label
_atom_site_type_symbol
_atom_site_fract_x
_atom_site_fract_y
_atom_site_fract_z
Ca1 Ca 0.0000 0.0000 0.0868
Sm1 Sm 0.0000 0.0000 0.5000
Er1 Er 0.0000 0.0000 0.0000
```

***

[8]
VASP calculation (PBE-GGA) on an optimized crystal structure of CaSm6Er2.

D(E_F)	14.52	states/eV per cell
V	308.8	Å³ per cell
formation energy	0.06	eV per atom

Geometry as CIF:
```
data_CaSm6Er2
_cell_length_a 3.6319
_cell_length_b 3.6319
_cell_length_c 27.0312
_cell_angle_alpha 90.00
_cell_angle_beta 90.00
_cell_angle_gamma 120.00
_symmetry_space_group_name_H-M 'P -6 m 2'
_symmetry_Int_Tables_number 187
_symmetry_space_group_name_Hall 'P -6 2'
loop_
_atom_site_label
_atom_site_type_symbol
_atom_site_fract_x
_atom_site_fract_y
_atom_site_fract_z
Ca1 Ca 0.0000 0.0000 0.0000
Sm1 Sm 0.0000 0.0000 0.2243
Sm2 Sm 0.0000 0.0000 0.4343
Sm3 Sm 0.6667 0.3333 0.1183
Er1 Er 0.6667 0.3333 0.3318
```

***

[9]
VASP calculation (PBE-GGA) on an optimized crystal structure of CaSm4Er2.

D(E_F)	27.93	states/eV per cell
V	706.1	Å³ per cell
formation energy	0.03	eV per atom

Geometry as CIF:
```
data_CaSm4Er2
_cell_length_a 3.6062
_cell_length_b 3.6062
_cell_length_c 62.6933
_cell_angle_alpha 90.00
_cell_angle_beta 90.00
_cell_angle_gamma 120.00
_symmetry_space_group_name_H-M 'R -3 m'
_symmetry_Int_Tables_number 166
_symmetry_space_group_name_Hall '-R 3 2"'
loop_
_atom_site_label
_atom_site_type_symbol
_atom_site_fract_x
_atom_site_fract_y
_atom_site_fract_z
Ca1 Ca 0.0000 0.0000 0.0000
Sm1 Sm 0.0000 0.0000 0.1430
Sm2 Sm 0.0000 0.0000 0.2817
Er1 Er 0.0000 0.0000 0.4300
```

***

[10]
VASP calculation (PBE-GGA) on an optimized crystal structure of Ca2SmEr.

D(E_F)	6.23	states/eV per cell
V	142.6	Å³ per cell
distance to the lowest polymorph of the same formula	0.21	eV per formula unit
formation energy	0.18	eV per atom

Geometry as CIF:
```
data_Ca2SmEr
_cell_length_a 4.136
_cell_length_b 4.136
_cell_length_c 8.335
_cell_angle_alpha 90.00
_cell_angle_beta 90.00
_cell_angle_gamma 90.00
_symmetry_space_group_name_H-M 'P 4/m m m'
_symmetry_Int_Tables_number 123
_symmetry_space_group_name_Hall '-P 4 2'
loop_
_atom_site_label
_atom_site_type_symbol
_atom_site_fract_x
_atom_site_fract_y
_atom_site_fract_z
Ca1 Ca 0.000 0.000 0.245
Sm1 Sm 0.500 0.500 0.500
Er1 Er 0.500 0.500 0.000
```

***

[11]
VASP calculation (PBE-GGA) on an optimized crystal structure of CaSmEr4.

D(E_F)	31.54	states/eV per cell
V	821.1	Å³ per cell
formation energy	0.22	eV per atom

Geometry as CIF:
```
data_CaSmEr4
_cell_length_a 9.364
_cell_length_b 9.364
_cell_length_c 9.364
_cell_angle_alpha 90.00
_cell_angle_beta 90.00
_cell_angle_gamma 90.00
_symmetry_space_group_name_H-M 'F -4 3 m'
_symmetry_Int_Tables_number 216
_symmetry_space_group_name_Hall 'F -4 2 3'
loop_
_atom_site_label
_atom_site_type_symbol
_atom_site_fract_x
_atom_site_fract_y
_atom_site_fract_z
Ca1 Ca 0.000 0.000 0.000
Sm1 Sm 0.250 0.250 0.250
Er1 Er 0.124 0.124 0.624
```

***

[12]
VASP calculation (PBE-GGA) on an optimized crystal structure of CaTb6Sm3Er2.

D(E_F)	36.79	states/eV per cell
V	784.5	Å³ per cell
formation energy	0.05	eV per atom

Geometry as CIF:
```
data_CaTb6Sm3Er2
_cell_length_a 6.225
_cell_length_b 10.782
_cell_length_c 11.869
_cell_angle_alpha 90.00
_cell_angle_beta 100.03
_cell_angle_gamma 90.00
_symmetry_space_group_name_H-M 'C 1 2/m 1'
_symmetry_Int_Tables_number 12
loop_
_symmetry_equiv_pos_as_xyz
'x,y,z'
'-x,-y,-z'
'-x,y,-z'
'x,-y,z'
'x+1/2,y+1/2,z'
'-x+1/2,-y+1/2,-z'
'-x+1/2,y+1/2,-z'
'x+1/2,-y+1/2,z'
loop_
_atom_site_label
_atom_site_type_symbol
_atom_site_fract_x
_atom_site_fract_y
_atom_site_fract_z
Ca1 Ca 0.000 0.000 0.000
Tb1 Tb 0.244 0.500 0.250
Tb2 Tb 0.246 0.330 0.750
Sm1 Sm 0.000 0.166 0.500
Sm2 Sm 0.000 0.500 0.500
Er1 Er 0.000 0.333 0.000
```

***

[13]
VASP calculation (PBE-GGA) on an optimized crystal structure of CaSm3Er2Te6.

D(E_F)	11.64	states/eV per cell
V	727.2	Å³ per cell
E_form (uncorrected)	-1.365	eV per atom

Geometry as CIF:
```
data_CaSm3Er2Te6
_cell_length_a 19.283
_cell_length_b 4.379
_cell_length_c 8.885
_cell_angle_alpha 90.00
_cell_angle_beta 104.26
_cell_angle_gamma 90.00
_symmetry_space_group_name_H-M 'C 1 2/m 1'
_symmetry_Int_Tables_number 12
loop_
_symmetry_equiv_pos_as_xyz
'x,y,z'
'-x,-y,-z'
'-x,y,-z'
'x,-y,z'
'x+1/2,y+1/2,z'
'-x+1/2,-y+1/2,-z'
'-x+1/2,y+1/2,-z'
'x+1/2,-y+1/2,z'
loop_
_atom_site_label
_atom_site_type_symbol
_atom_site_fract_x
_atom_site_fract_y
_atom_site_fract_z
Ca1 Ca 0.000 0.000 0.000
Sm1 Sm 0.000 0.000 0.500
Sm2 Sm 0.164 0.500 0.824
Er1 Er 0.169 0.500 0.338
Te1 Te 0.005 0.500 0.249
Te2 Te 0.167 0.000 0.088
Te3 Te 0.168 0.000 0.575
```

***

[14]
VASP calculation (PBE-GGA) on an optimized crystal structure of Ca3Sm2ErTe6.

D(E_F)	10.14	states/eV per cell
V	747.0	Å³ per cell
E_form (uncorrected)	-1.472	eV per atom

Geometry as CIF:
```
data_Ca3Sm2ErTe6
_cell_length_a 7.654
_cell_length_b 13.239
_cell_length_c 7.801
_cell_angle_alpha 90.00
_cell_angle_beta 109.10
_cell_angle_gamma 90.00
_symmetry_space_group_name_H-M 'C 1 2/m 1'
_symmetry_Int_Tables_number 12
loop_
_symmetry_equiv_pos_as_xyz
'x,y,z'
'-x,-y,-z'
'-x,y,-z'
'x,-y,z'
'x+1/2,y+1/2,z'
'-x+1/2,-y+1/2,-z'
'-x+1/2,y+1/2,-z'
'x+1/2,-y+1/2,z'
loop_
_atom_site_label
_atom_site_type_symbol
_atom_site_fract_x
_atom_site_fract_y
_atom_site_fract_z
Ca1 Ca 0.000 0.000 0.000
Ca2 Ca 0.000 0.330 0.000
Sm1 Sm 0.000 0.165 0.500
Er1 Er 0.000 0.500 0.500
Te1 Te 0.243 0.500 0.250
Te2 Te 0.245 0.337 0.748
```

***

[15]
VASP calculation (PBE-GGA) on an optimized crystal structure of CaSmEr2Te4.

D(E_F)	3.86	states/eV per cell
V	477.7	Å³ per cell
E_form (uncorrected)	-1.354	eV per atom

Geometry as CIF:
```
data_CaSmEr2Te4
_cell_length_a 6.198
_cell_length_b 6.198
_cell_length_c 12.435
_cell_angle_alpha 90.00
_cell_angle_beta 90.00
_cell_angle_gamma 90.00
_symmetry_space_group_name_H-M 'I -4 m 2'
_symmetry_Int_Tables_number 119
_symmetry_space_group_name_Hall 'I -4 -2'
loop_
_atom_site_label
_atom_site_type_symbol
_atom_site_fract_x
_atom_site_fract_y
_atom_site_fract_z
Ca1 Ca 0.000 0.000 0.000
Sm1 Sm 0.000 0.500 0.750
Er1 Er 0.000 0.000 0.500
Er2 Er 0.000 0.500 0.250
Te1 Te 0.000 0.000 0.251
Te2 Te 0.000 0.500 0.005
```

***

[16]
VASP calculation (PBE-GGA) on an optimized crystal structure of Ca3Sm3ErTe8.

D(E_F)	13.76	states/eV per cell
V	1502.5	Å³ per cell
E_form (uncorrected)	-1.504	eV per atom

Geometry as CIF:
```
data_Ca3Sm3ErTe8
_cell_length_a 8.8481
_cell_length_b 8.8481
_cell_length_c 22.1605
_cell_angle_alpha 90.00
_cell_angle_beta 90.00
_cell_angle_gamma 120.00
_symmetry_space_group_name_H-M 'R -3 m'
_symmetry_Int_Tables_number 166
_symmetry_space_group_name_Hall '-R 3 2"'
loop_
_atom_site_label
_atom_site_type_symbol
_atom_site_fract_x
_atom_site_fract_y
_atom_site_fract_z
Ca1 Ca 0.0000 0.5000 0.0000
Sm1 Sm 0.0000 0.5000 0.5000
Er1 Er 0.0000 0.0000 0.5000
Te1 Te 0.0000 0.0000 0.2504
Te2 Te 0.0037 0.5019 0.2485
```

***

[17]
VASP calculation (PBE-GGA) on an optimized crystal structure of CaSm2ErTl4.

D(E_F)	15.56	states/eV per cell
V	681.9	Å³ per cell
formation energy	-0.37	eV per atom

Geometry as CIF:
```
data_CaSm2ErTl4
_cell_length_a 5.4307
_cell_length_b 5.4307
_cell_length_c 26.6975
_cell_angle_alpha 90.00
_cell_angle_beta 90.00
_cell_angle_gamma 120.00
_symmetry_space_group_name_H-M 'R -3 m'
_symmetry_Int_Tables_number 166
_symmetry_space_group_name_Hall '-R 3 2"'
loop_
_atom_site_label
_atom_site_type_symbol
_atom_site_fract_x
_atom_site_fract_y
_atom_site_fract_z
Ca1 Ca 0.0000 0.0000 0.0000
Sm1 Sm 0.0000 0.0000 0.2530
Er1 Er 0.0000 0.0000 0.5000
Tl1 Tl 0.0000 0.0000 0.1273
Tl2 Tl 0.0000 0.0000 0.3778
```

***

[18]
VASP calculation (PBE-GGA) on an optimized crystal structure of CaSmYEr.

D(E_F)	27.79	states/eV per cell
V	542.6	Å³ per cell
formation energy	0.15	eV per atom

Geometry as CIF:
```
data_CaSmYEr
_cell_length_a 8.156
_cell_length_b 8.156
_cell_length_c 8.156
_cell_angle_alpha 90.00
_cell_angle_beta 90.00
_cell_angle_gamma 90.00
_symmetry_space_group_name_H-M 'F -4 3 m'
_symmetry_Int_Tables_number 216
_symmetry_space_group_name_Hall 'F -4 2 3'
loop_
_atom_site_label
_atom_site_type_symbol
_atom_site_fract_x
_atom_site_fract_y
_atom_site_fract_z
Ca1 Ca 0.000 0.000 0.000
Sm1 Sm 0.250 0.250 0.250
Y1 Y 0.250 0.250 0.750
Er1 Er 0.000 0.000 0.500
```

***

[19]
VASP calculation (PBE-GGA) on an optimized crystal structure of CaSmY4Er2.

D(E_F)	69.90	states/eV per cell
V	1098.2	Å³ per cell
formation energy	0.44	eV per atom

Geometry as CIF:
```
data_CaSmY4Er2
_cell_length_a 13.781
_cell_length_b 13.406
_cell_length_c 6.842
_cell_angle_alpha 90.00
_cell_angle_beta 119.68
_cell_angle_gamma 90.00
_symmetry_space_group_name_H-M 'C 1 2/c 1'
_symmetry_Int_Tables_number 15
loop_
_symmetry_equiv_pos_as_xyz
'x,y,z'
'-x,-y,-z'
'-x,y,-z+1/2'
'x,-y,z+1/2'
'x+1/2,y+1/2,z'
'-x+1/2,-y+1/2,-z'
'-x+1/2,y+1/2,-z+1/2'
'x+1/2,-y+1/2,z+1/2'
loop_
_atom_site_label
_atom_site_type_symbol
_atom_site_fract_x
_atom_site_fract_y
_atom_site_fract_z
Ca1 Ca 0.000 0.000 0.000
Sm1 Sm 0.250 0.250 0.000
Y1 Y 0.000 0.255 0.001
Y2 Y 0.233 0.497 0.480
Er1 Er 0.000 0.500 0.000
Er2 Er 0.250 0.250 0.500
```